No. 1
Ca2AlMo after structural relaxation, computed with PBE.

Calculated values
Calculated formation energy   0.485 eV per atom
DFT total energy   -4.159 eV/atom
Spin magnetization   0.527 μB per cell

Structure (POSCAR):
```
Ca2AlMo
1.0
-2.315 2.315 4.163
2.315 -2.315 4.163
2.315 2.315 -4.163
Ca Al Mo
2 1 1
Cartesian
0.000 0.000 0.000 Ca
0.000 2.315 2.082 Ca
0.000 0.000 4.163 Al
2.315 0.000 2.082 Mo
```

No. 2
Tb2HoEr5In after structural relaxation, computed with PBE.

Calculated values
Calculated formation energy   -0.004 eV per atom
DFT total energy   -4.381 eV/atom
Spin magnetization   0.000 μB per cell

Structure (POSCAR):
```
Tb2HoEr5In
1.0
2.646 -10.073 0.000
2.646 10.073 0.000
0.000 0.000 10.368
Tb Ho Er In
4 2 10 2
Cartesian
2.646 7.733 5.184 Tb
2.646 7.730 9.569 Tb
2.646 -7.733 0.000 Tb
2.646 -7.730 4.385 Tb
2.646 5.874 2.193 Ho
2.646 -5.874 7.377 Ho
2.646 9.865 2.192 Er
2.646 4.268 5.323 Er
2.646 4.261 9.431 Er
2.646 2.369 2.192 Er
2.646 -0.001 4.782 Er
2.646 0.001 9.966 Er
2.646 -2.369 7.376 Er
2.646 -4.268 0.139 Er
2.646 -4.261 4.247 Er
2.646 -9.865 7.376 Er
2.646 1.937 7.372 In
2.646 -1.937 2.188 In
```

No. 3
K2AgCl2 after structural relaxation, computed with PBE.

Calculated values
DFT total energy   -2.785 eV/atom
Relative energy among the computed polymorphs   95 meV/atom
Spin magnetization   0.000 μB per cell
Formation energy from raw total energies   -1.037 eV/atom

Structure (POSCAR):
```
K2AgCl2
1.0
-3.099 3.099 5.183
3.099 -3.099 5.183
3.099 3.099 -5.183
K Ag Cl
2 1 2
Cartesian
3.099 0.000 2.591 K
0.000 3.099 2.591 K
0.000 0.000 0.000 Ag
0.000 0.000 2.736 Cl
0.000 0.000 7.630 Cl
```

No. 4
LaYTmS3 after structural relaxation, computed with PBE.

Calculated values
DFT total energy   -6.552 eV/atom
Spin magnetization   0.250 μB per cell
Formation energy from raw total energies   -1.845 eV/atom

Structure (POSCAR):
```
LaYTmS3
1.0
7.630 0.000 0.000
0.000 3.952 0.000
-2.162 0.000 9.767
La Y Tm S
2 2 2 6
Cartesian
0.936 0.988 2.012 La
4.531 2.964 7.755 La
0.072 0.988 6.068 Y
5.396 2.964 3.699 Y
0.583 2.964 8.857 Tm
4.885 0.988 0.910 Tm
-1.173 0.988 8.665 S
0.515 2.964 4.246 S
3.224 2.964 1.763 S
2.244 0.988 8.004 S
4.953 0.988 5.521 S
6.640 2.964 1.102 S
```